# Al3Fe2Os, optimized geometry, DFT GGA-PBE
data_Al3Fe2Os
_chemical_formula_sum 'Al3 Fe2 Os1'
_cell_length_a 2.951
_cell_length_b 2.951
_cell_length_c 8.682
_cell_angle_alpha 90.00
_cell_angle_beta 90.00
_cell_angle_gamma 90.00
_symmetry_space_group_name_H-M 'P 4/m m m'
_symmetry_Int_Tables_number 123
_symmetry_space_group_name_Hall '-P 4 2'
loop_
_atom_site_label
_atom_site_fract_x
_atom_site_fract_y
_atom_site_fract_z
Al1 0.000 0.000 0.000
Al2 0.000 0.000 0.324
Fe1 0.500 0.500 0.157
Os1 0.500 0.500 0.500
# - ρ: 8.4 Mg/m³
# - DFT formation energy: -331 meV/atom


# Ba3I12Br5, optimized geometry, DFT GGA-PBE
data_Ba3I12Br5
_chemical_formula_sum 'Ba24 I96 Br40'
_cell_length_a 19.862
_cell_length_b 19.862
_cell_length_c 19.862
_cell_angle_alpha 90.00
_cell_angle_beta 90.00
_cell_angle_gamma 90.00
_symmetry_space_group_name_H-M 'I a -3 d'
_symmetry_Int_Tables_number 230
_symmetry_space_group_name_Hall '-I 4bd 2c 3'
loop_
_atom_site_label
_atom_site_fract_x
_atom_site_fract_y
_atom_site_fract_z
Ba1 0.000 0.250 0.125
I1 0.008 0.070 0.656
Br1 0.000 0.000 0.000
Br2 0.000 0.250 0.375
# - Formation energy without anion corrections: -0.458 eV/atom
# - ρ: 4.0 Mg/m³


# LaFeW2, optimized geometry, DFT GGA-PBE
data_LaFeW2
_chemical_formula_sum 'La1 Fe1 W2'
_cell_length_a 2.894
_cell_length_b 4.996
_cell_length_c 5.094
_cell_angle_alpha 90.00
_cell_angle_beta 98.89
_cell_angle_gamma 90.00
_symmetry_space_group_name_H-M 'P 1 2/m 1'
_symmetry_Int_Tables_number 10
_symmetry_space_group_name_Hall '-P 2y'
loop_
_atom_site_label
_atom_site_fract_x
_atom_site_fract_y
_atom_site_fract_z
La1 0.000 0.000 0.000
Fe1 0.500 0.000 0.500
W1 0.276 0.500 0.743
# - ρ: 12.8 Mg/m³
# - Polymorph energy (0 for the lowest one): 302 meV per atom
# - DFT formation energy: 803 meV/atom


# KLi2SbF8, optimized geometry, DFT GGA-PBE
data_KLi2SbF8
_chemical_formula_sum 'K3 Li6 Sb3 F24'
_cell_length_a 5.0515
_cell_length_b 5.0515
_cell_length_c 22.5837
_cell_angle_alpha 90.00
_cell_angle_beta 90.00
_cell_angle_gamma 120.00
_symmetry_space_group_name_H-M 'R -3'
_symmetry_Int_Tables_number 148
_symmetry_space_group_name_Hall '-R 3'
loop_
_atom_site_label
_atom_site_fract_x
_atom_site_fract_y
_atom_site_fract_z
K1 0.0000 0.0000 0.0000
Li1 0.0000 0.0000 0.2651
Sb1 0.0000 0.0000 0.5000
F1 0.0000 0.0000 0.3419
F2 0.0124 0.3629 0.1182
# - Formation energy without anion corrections: -2.521 eV/atom
# - ρ: 3.3 Mg/m³